Below is crystalline Zr2H5 at its relaxed geometry, with properties calculated at the PBE level.

## Properties
total magnetic moment	0.00	Bohr magnetons per cell
calculated total energy	-5.278	eV per atom
D(E_F)	0.25	states/eV/atom

a = 4.2269 Å, b = 5.1482 Å, c = 6.1269 Å
α = 114.84°, β = 110.18°, γ = 90.00°
Last column: nearest neighbours and their distance in Å.
Element x y z (fractional)
1 Zr 0.8776 0.1168 0.7552  10 H 2.06-2.21
2 Zr 0.1224 0.8832 0.2448  10 H 2.06-2.21
3 Zr 0.3776 0.6384 0.7552  10 H 2.06-2.21
4 Zr 0.6224 0.3616 0.2448  10 H 2.06-2.21
5 H 0.2500 0.5000 0.0000  6 H 2.11-2.23, 4 Zr 2.12
6 H 0.4950 0.7450 0.4900  4 H 2.11-2.26, 4 Zr 2.12
7 H 0.9242 0.7739 0.8483  4 Zr 2.06-2.21, 5 H 2.20-2.26
8 H 0.5050 0.2550 0.5100  4 H 2.11-2.26, 4 Zr 2.12
9 H 0.4242 0.0744 0.8483  4 Zr 2.06-2.21, 5 H 2.20-2.26
10 H 0.0050 0.2550 0.5100  4 H 2.11-2.26, 4 Zr 2.12
11 H 0.9950 0.7450 0.4900  4 H 2.11-2.26, 4 Zr 2.12
12 H 0.7500 0.5000 0.0000  6 H 2.11-2.23, 4 Zr 2.12
13 H 0.0758 0.2261 0.1517  4 Zr 2.06-2.21, 5 H 2.20-2.26
14 H 0.5758 0.9256 0.1517  4 Zr 2.06-2.21, 5 H 2.20-2.26